First-principles (PBE) data for an optimized crystal structure of KZn2Sn2, as listed in the Alexandria database.

Properties
Energy above the lowest structure with this stoichiometry: 0.000 eV per atom
Calculated volume: 26.25 Å³ per atom
Size of the total moment: 0.00 Bohr magnetons per cell
Space group: I4/mmm, No. 139
Energy of formation from the pure elements: -0.12 eV/atom

Cell lengths 4.7040, 4.7040, 11.8635 Å; angles 90.00, 90.00, 90.00 degrees
Element x y z (fractional)
K 0.0000 0.0000 0.0000
K 0.5000 0.5000 0.5000
Zn 0.0000 0.5000 0.2500
Zn 0.0000 0.5000 0.7500
Zn 0.5000 0.0000 0.2500
Zn 0.5000 0.0000 0.7500
Sn 0.0000 0.0000 0.3764
Sn 0.0000 0.0000 0.6236
Sn 0.5000 0.5000 0.1236
Sn 0.5000 0.5000 0.8764

First-principles (PBE) data for an optimized crystal structure of KZn2Sn2, as listed in the Alexandria database.

Properties
Energy above the lowest structure with this stoichiometry: 0.151 eV per atom
Calculated volume: 25.34 Å³ per atom
Size of the total moment: 0.00 Bohr magnetons per cell
Space group: P4/mbm, No. 127
Energy of formation from the pure elements: 0.03 eV/atom

Cell lengths 8.7787, 8.7787, 3.2886 Å; angles 90.00, 90.00, 90.00 degrees
Element x y z (fractional)
K 0.0000 0.0000 0.0000
K 0.5000 0.5000 0.0000
Zn 0.1524 0.3476 0.5000
Zn 0.3476 0.8476 0.5000
Zn 0.6524 0.1524 0.5000
Zn 0.8476 0.6524 0.5000
Sn 0.1357 0.6357 0.0000
Sn 0.3643 0.1357 0.0000
Sn 0.6357 0.8643 0.0000
Sn 0.8643 0.3643 0.0000

First-principles (PBE) data for an optimized crystal structure of K2ZnSn2, as listed in the Alexandria database.

Properties
Energy above the lowest structure with this stoichiometry: 0.209 eV per atom
Calculated volume: 37.87 Å³ per atom
Size of the total moment: 0.00 Bohr magnetons per cell
Space group: P4/mbm, No. 127
Energy of formation from the pure elements: 0.09 eV/atom

Cell lengths 10.2693, 10.2693, 3.5907 Å; angles 90.00, 90.00, 90.00 degrees
Element x y z (fractional)
K 0.1995 0.3005 0.0000
K 0.3005 0.8005 0.0000
K 0.6995 0.1995 0.0000
K 0.8005 0.6995 0.0000
Zn 0.0000 0.0000 0.5000
Zn 0.5000 0.5000 0.5000
Sn 0.0959 0.5959 0.5000
Sn 0.4041 0.0959 0.5000
Sn 0.5959 0.9041 0.5000
Sn 0.9041 0.4041 0.5000

First-principles (PBE) data for an optimized crystal structure of KZn2Sn2, as listed in the Alexandria database.

Properties
Energy above the lowest structure with this stoichiometry: 0.011 eV per atom
Calculated volume: 26.00 Å³ per atom
Size of the total moment: 0.00 Bohr magnetons per cell
Space group: I4/mmm, No. 139
Energy of formation from the pure elements: -0.11 eV/atom

Cell lengths 4.6673, 4.6673, 11.9374 Å; angles 90.00, 90.00, 90.00 degrees
Element x y z (fractional)
K 0.0000 0.0000 0.0000
K 0.5000 0.5000 0.5000
Zn 0.0000 0.0000 0.3951
Zn 0.0000 0.0000 0.6049
Zn 0.5000 0.5000 0.1049
Zn 0.5000 0.5000 0.8951
Sn 0.0000 0.5000 0.2500
Sn 0.0000 0.5000 0.7500
Sn 0.5000 0.0000 0.2500
Sn 0.5000 0.0000 0.7500